(1)
PuCoNiO6 | PBE with a Hubbard U | relaxed

Summary:
Total energy ... -7.329 eV per atom

Unit cell a=5.0276 b=5.0276 c=9.1004 alpha=90.00 beta=90.00 gamma=120.00
Space group P-31c (No. 163)
Inequivalent atoms, fractional coordinates:
Pu: 0.3333 0.6667 0.2500 [2 per cell]
Co: 0.3333 0.6667 0.7500 [2 per cell]
Ni: 0.0000 0.0000 0.0000 [2 per cell]
O: 0.0151 0.3508 0.6316 [12 per cell]


(2)
PuCoNi2O6 | PBE with a Hubbard U | relaxed

Summary:
DOS(E_F) ... 8.0 states/eV/f.u.
Total energy ... -6.658 eV per atom

Unit cell a=5.8193 b=5.8193 c=4.1531 alpha=90.00 beta=90.00 gamma=90.00
Space group P4mm (No. 99)
Inequivalent atoms, fractional coordinates:
Pu: 0.0000 0.0000 0.0000 [1 per cell]
Co: 0.5000 0.5000 0.9188 [1 per cell]
Ni: 0.0000 0.5000 0.1126 [2 per cell]
O: 0.0000 0.0000 0.5036 [1 per cell]
O: 0.2571 0.2571 0.0328 [4 per cell]
O: 0.5000 0.5000 0.5100 [1 per cell]


(3)
Co2NiRhO | PBE with a Hubbard U | relaxed

Summary:
DOS(E_F) ... 4.4 states/eV/f.u.
Total energy ... -3.351 eV per atom

Unit cell a=4.6026 b=4.6026 c=4.6414 alpha=90.00 beta=90.00 gamma=90.00
Space group P4/mmm (No. 123)
Inequivalent atoms, fractional coordinates:
Co: 0.0000 0.5000 0.0000 [2 per cell]
Ni: 0.0000 0.0000 0.5000 [1 per cell]
Rh: 0.0000 0.0000 0.0000 [1 per cell]
O: 0.5000 0.5000 0.5000 [1 per cell]


(4)
Co2NiRhO4 | PBE with a Hubbard U | relaxed

Summary:
DOS(E_F) ... 5.4 states/eV/f.u.
Total energy ... -5.707 eV per atom

Unit cell a=8.1542 b=8.2958 c=6.3166 alpha=90.00 beta=127.28 gamma=90.00
Space group C2/c (No. 15)
Inequivalent atoms, fractional coordinates:
Co: 0.0000 0.0000 0.0000 [4 per cell]
Co: 0.2500 0.2500 0.0000 [4 per cell]
Ni: 0.2500 0.2500 0.5000 [4 per cell]
Rh: 0.0000 0.5000 0.0000 [4 per cell]
O: 0.0472 0.2550 0.0809 [8 per cell]
O: 0.2071 0.0076 0.8987 [8 per cell]


(5)
Co2Ni2SbO6 | PBE with a Hubbard U | relaxed

Summary:
DOS(E_F) ... 0.8 states/eV/f.u.
Total energy ... -5.478 eV per atom

Unit cell a=5.4654 b=8.7718 c=5.5825 alpha=90.00 beta=109.53 gamma=90.00
Space group C2/m (No. 12)
Inequivalent atoms, fractional coordinates:
Co: 0.0000 0.1963 0.0000 [4 per cell]
Ni: 0.0000 0.1611 0.5000 [4 per cell]
Sb: 0.0000 0.5000 0.5000 [2 per cell]
O: 0.1036 0.3349 0.3013 [8 per cell]
O: 0.1182 0.0000 0.2727 [4 per cell]


(6)
CoNi2SbO6 | PBE with a Hubbard U | relaxed

Summary:
Total energy ... -5.554 eV per atom

Unit cell a=5.1244 b=5.1730 c=5.4941 alpha=90.79 beta=117.36 gamma=119.57
Space group P1 (No. 1)
Inequivalent atoms, fractional coordinates:
Co: 0.0000 0.0000 0.0000 [1 per cell]
Ni: 0.4073 0.2057 0.6143 [1 per cell]
Ni: 0.4133 0.7066 0.1270 [1 per cell]
Sb: 0.0062 0.5043 0.5142 [1 per cell]
O: 0.1800 0.9010 0.8051 [1 per cell]
O: 0.1890 0.7922 0.3132 [1 per cell]
O: 0.5060 0.6159 0.8038 [1 per cell]
O: 0.5158 0.4014 0.3097 [1 per cell]
O: 0.9053 0.1168 0.3040 [1 per cell]
O: 0.9070 0.2989 0.8061 [1 per cell]


(7)
ScCo2NiO | PBE with a Hubbard U | relaxed

Summary:
DOS(E_F) ... 1.6 states/eV/f.u.
Total energy ... -4.162 eV per atom

Unit cell a=5.0916 b=5.0916 c=3.8136 alpha=90.00 beta=90.00 gamma=90.00
Space group P4/mmm (No. 123)
Inequivalent atoms, fractional coordinates:
Sc: 0.0000 0.0000 0.0000 [1 per cell]
Co: 0.0000 0.5000 0.0000 [2 per cell]
Ni: 0.5000 0.5000 0.5000 [1 per cell]
O: 0.0000 0.0000 0.5000 [1 per cell]


(8)
Sc2CoNiO | PBE with a Hubbard U | relaxed

Summary:
DOS(E_F) ... 3.3 states/eV/f.u.
Total energy ... -4.923 eV per atom

Unit cell a=4.8503 b=4.8503 c=3.4393 alpha=90.00 beta=90.00 gamma=90.00
Space group P4/mmm (No. 123)
Inequivalent atoms, fractional coordinates:
Sc: 0.0000 0.5000 0.0000 [2 per cell]
Co: 0.0000 0.0000 0.0000 [1 per cell]
Ni: 0.5000 0.5000 0.5000 [1 per cell]
O: 0.0000 0.0000 0.5000 [1 per cell]


(9)
Sm2CoNiO6 | PBE with a Hubbard U | relaxed

Summary:
Total energy ... -6.896 eV per atom

Unit cell a=5.3394 b=5.5692 c=9.2950 alpha=90.00 beta=125.06 gamma=90.00
Space group P2_1/c (No. 14)
Inequivalent atoms, fractional coordinates:
Sm: 0.2350 0.0616 0.2506 [4 per cell]
Co: 0.0000 0.0000 0.5000 [2 per cell]
Ni: 0.5000 0.0000 0.0000 [2 per cell]
O: 0.1449 0.2127 0.9523 [4 per cell]
O: 0.2427 0.6954 0.9544 [4 per cell]
O: 0.3297 0.0233 0.7409 [4 per cell]


(10)
CoNiSn2O | PBE with a Hubbard U | relaxed

Summary:
DOS(E_F) ... 2.1 states/eV/f.u.
Total energy ... -3.850 eV per atom

Unit cell a=4.7955 b=4.7955 c=3.7981 alpha=90.00 beta=90.00 gamma=90.00
Space group P4/mmm (No. 123)
Inequivalent atoms, fractional coordinates:
Co: 0.0000 0.0000 0.0000 [1 per cell]
Ni: 0.5000 0.5000 0.0000 [1 per cell]
Sn: 0.0000 0.5000 0.5000 [2 per cell]
O: 0.0000 0.0000 0.5000 [1 per cell]


(11)
Co2NiSnO6 | PBE with a Hubbard U | relaxed

Summary:
DOS(E_F) ... 1.4 states/eV/f.u.
Total energy ... -5.743 eV per atom

Unit cell a=5.0529 b=5.1158 c=5.3605 alpha=117.54 beta=90.22 gamma=118.92
Space group P1 (No. 1)
Inequivalent atoms, fractional coordinates:
Co: 0.0000 0.0000 0.0000 [1 per cell]
Co: 0.4885 0.9798 0.4721 [1 per cell]
Ni: 0.7908 0.5838 0.3836 [1 per cell]
Sn: 0.2845 0.5645 0.8595 [1 per cell]
O: 0.1055 0.8105 0.1956 [1 per cell]
O: 0.2107 0.8197 0.6922 [1 per cell]
O: 0.3857 0.5000 0.2030 [1 per cell]
O: 0.5983 0.4572 0.6805 [1 per cell]
O: 0.7006 0.0823 0.1957 [1 per cell]
O: 0.8667 0.0806 0.6926 [1 per cell]


(12)
SrCoNiO4 | PBE with a Hubbard U | relaxed

Summary:
Total energy ... -5.525 eV per atom

Unit cell a=5.5343 b=5.5343 c=6.5144 alpha=90.00 beta=90.00 gamma=90.00
Space group I-4 (No. 82)
Inequivalent atoms, fractional coordinates:
Sr: 0.0000 0.0000 0.0000 [2 per cell]
Co: 0.0000 0.5000 0.2500 [2 per cell]
Ni: 0.0000 0.0000 0.5000 [2 per cell]
O: 0.1584 0.7731 0.3334 [8 per cell]


(13)
Sr2CoNiO5 | PBE with a Hubbard U | relaxed

Summary:
DOS(E_F) ... 4.1 states/eV/f.u.
Total energy ... -5.652 eV per atom

Unit cell a=3.2583 b=14.7504 c=9.8718 alpha=90.00 beta=90.00 gamma=90.00
Space group Cmc2_1 (No. 36)
Inequivalent atoms, fractional coordinates:
Sr: 0.0000 0.1221 0.0000 [4 per cell]
Sr: 0.0000 0.1293 0.5856 [4 per cell]
Co: 0.0000 0.4868 0.7685 [4 per cell]
Ni: 0.0000 0.2086 0.2994 [4 per cell]
O: 0.0000 0.0652 0.3236 [4 per cell]
O: 0.0000 0.2844 0.9259 [4 per cell]
O: 0.0000 0.2908 0.6732 [4 per cell]
O: 0.0000 0.3876 0.3011 [4 per cell]
O: 0.0000 0.4959 0.5816 [4 per cell]


(14)
TaCo2NiO6 | PBE with a Hubbard U | relaxed

Summary:
DOS(E_F) ... 0.0 states/eV/f.u.
Total energy ... -7.063 eV per atom

Unit cell a=5.1070 b=5.1070 c=13.8578 alpha=90.00 beta=90.00 gamma=120.00
Space group R3 (No. 146, hexagonal axes)
Inequivalent atoms, fractional coordinates:
Ta: 0.0000 0.0000 0.0000 [3 per cell]
Co: 0.0000 0.0000 0.2795 [3 per cell]
Co: 0.0000 0.0000 0.8015 [3 per cell]
Ni: 0.0000 0.0000 0.4901 [3 per cell]
O: 0.0022 0.3417 0.0607 [9 per cell]
O: 0.0502 0.6758 0.5577 [9 per cell]


(15)
CoTcNi2O6 | PBE with a Hubbard U | relaxed

Summary:
DOS(E_F) ... 0.1 states/eV/f.u.
Total energy ... -5.857 eV per atom

Unit cell a=5.3490 b=5.3490 c=4.9099 alpha=90.00 beta=90.00 gamma=90.00
Space group P4mm (No. 99)
Inequivalent atoms, fractional coordinates:
Co: 0.0000 0.0000 0.0000 [1 per cell]
Tc: 0.5000 0.5000 0.0072 [1 per cell]
Ni: 0.0000 0.5000 0.2920 [2 per cell]
O: 0.0000 0.0000 0.6564 [1 per cell]
O: 0.2569 0.2569 0.1683 [4 per cell]
O: 0.5000 0.5000 0.6649 [1 per cell]


(16)
CoNiTe2O6 | PBE with a Hubbard U | relaxed

Summary:
DOS(E_F) ... 0.0 states/eV/f.u.
Total energy ... -5.421 eV per atom

Unit cell a=5.8178 b=5.8216 c=5.8423 alpha=100.95 beta=119.81 gamma=107.99
Space group P1 (No. 1)
Inequivalent atoms, fractional coordinates:
Co: 0.0000 0.0000 0.0000 [1 per cell]
Ni: 0.0964 0.5955 0.5004 [1 per cell]
Te: 0.3937 0.1905 0.7415 [1 per cell]
Te: 0.4505 0.6511 0.2581 [1 per cell]
O: 0.0924 0.3798 0.1707 [1 per cell]
O: 0.1115 0.9174 0.3397 [1 per cell]
O: 0.1638 0.3679 0.7288 [1 per cell]
O: 0.2103 0.9210 0.8305 [1 per cell]
O: 0.5782 0.7728 0.6602 [1 per cell]
O: 0.6409 0.4340 0.2729 [1 per cell]


(17)
Co2Ni2TeO6 | PBE with a Hubbard U | relaxed

Summary:
Total energy ... -5.280 eV per atom

Unit cell a=5.4175 b=9.2665 c=5.4005 alpha=90.00 beta=111.98 gamma=90.00
Space group C2/m (No. 12)
Inequivalent atoms, fractional coordinates:
Co: 0.0000 0.1736 0.0000 [4 per cell]
Ni: 0.0000 0.3386 0.5000 [4 per cell]
Te: 0.0000 0.0000 0.5000 [2 per cell]
O: 0.2351 0.1814 0.7379 [8 per cell]
O: 0.2408 0.0000 0.2591 [4 per cell]


(18)
Co2NiTeO8 | PBE with a Hubbard U | relaxed

Summary:
DOS(E_F) ... 0.9 states/eV/f.u.
Total energy ... -5.116 eV per atom

Unit cell a=6.4452 b=6.4452 c=6.4464 alpha=90.00 beta=90.00 gamma=90.00
Space group I-4m2 (No. 119)
Inequivalent atoms, fractional coordinates:
Co: 0.0000 0.0000 0.0000 [2 per cell]
Co: 0.0000 0.5000 0.2500 [2 per cell]
Ni: 0.0000 0.5000 0.7500 [2 per cell]
Te: 0.0000 0.0000 0.5000 [2 per cell]
O: 0.0000 0.1787 0.7981 [8 per cell]
O: 0.0000 0.3043 0.4535 [8 per cell]


(19)
CoNi2TeO6 | PBE with a Hubbard U | relaxed

Summary:
Total energy ... -5.400 eV per atom

Unit cell a=5.1884 b=5.1884 c=13.9823 alpha=90.00 beta=90.00 gamma=120.00
Space group R3 (No. 146, hexagonal axes)
Inequivalent atoms, fractional coordinates:
Co: 0.0000 0.0000 0.0000 [3 per cell]
Ni: 0.0000 0.0000 0.2061 [3 per cell]
Ni: 0.0000 0.0000 0.7136 [3 per cell]
Te: 0.0000 0.0000 0.5122 [3 per cell]
O: 0.0068 0.3630 0.7760 [9 per cell]
O: 0.0403 0.6675 0.2703 [9 per cell]


(20)
TiCoNiO4 | PBE with a Hubbard U | relaxed

Summary:
DOS(E_F) ... 0.0 states/eV/f.u.
Total energy ... -6.978 eV per atom

Unit cell a=5.9900 b=5.9992 c=8.4184 alpha=90.00 beta=90.00 gamma=90.00
Space group Imma (No. 74)
Inequivalent atoms, fractional coordinates:
Ti: 0.0000 0.2500 0.1251 [4 per cell]
Co: 0.2500 0.2500 0.7500 [4 per cell]
Ni: 0.0000 0.0000 0.5000 [4 per cell]
O: 0.0000 0.0010 0.7485 [8 per cell]
O: 0.2448 0.2500 0.5017 [8 per cell]


(21)
UCoNi2O6 | PBE with a Hubbard U | relaxed

Summary:
DOS(E_F) ... 4.1 states/eV/f.u.
Total energy ... -6.561 eV per atom

Unit cell a=5.8529 b=5.8529 c=4.1629 alpha=90.00 beta=90.00 gamma=90.00
Space group P4mm (No. 99)
Inequivalent atoms, fractional coordinates:
U: 0.0000 0.0000 0.0000 [1 per cell]
Co: 0.5000 0.5000 0.9234 [1 per cell]
Ni: 0.0000 0.5000 0.1061 [2 per cell]
O: 0.0000 0.0000 0.5068 [1 per cell]
O: 0.2522 0.2522 0.0333 [4 per cell]
O: 0.5000 0.5000 0.5137 [1 per cell]